Compound: Ca2TeWO6
Source: the Alexandria database
Functional: PBE with a Hubbard U
Structure: relaxed

As for the density of states at the Fermi level: 0.143 states/eV per cell. Its crystal system is monoclinic. The energy relative to the lowest polymorph listed for this composition comes out at 8.47 kJ/mol of atoms.

The space group is P2_1/c (No. 14) and the conventional cell measures 5.759, 6.151 and 9.390 Å, with angles of 90.00, 122.40 and 90.00 degrees. Symmetry generates all atoms from Ca at (0.221, 0.019, 0.234), Te at (0.000, 0.000, 0.500), W at (0.500, 0.000, 0.000), O at (0.184, 0.117, 0.782), O at (0.219, 0.673, 0.519) and O at (0.474, 0.225, 0.127).